No. 1
## RbPmRuO6 (GGA-PBE)

Data for a relaxed RbPmRuO6 crystal.

Cell: 5.744 5.744 6.112 Å, 90.00 90.00 120.00°
Fractional coordinates of all 9 atoms:
Rb: 0.000 0.000 0.000
Pm: 0.333 0.667 0.500
Ru: 0.667 0.333 0.500
O: 0.410 0.055 0.679
O: 0.410 0.355 0.321
O: 0.645 0.055 0.321
O: 0.645 0.590 0.679
O: 0.945 0.355 0.679
O: 0.945 0.590 0.321

Output
Uncorrected formation energy in eV/atom: -1.47
SG: P312, No. 149
E_tot in Ha/atom: -0.237


No. 2
## ScCu4Br (GGA-PBE)

Data for a relaxed ScCu4Br crystal.

Cell: 5.108 5.108 5.108 Å, 60.00 60.00 60.00°
Fractional coordinates of all 6 atoms:
Sc: 0.000 0.000 0.000
Cu: 0.375 0.375 0.375
Cu: 0.375 0.375 0.876
Cu: 0.375 0.876 0.375
Cu: 0.876 0.375 0.375
Br: 0.750 0.750 0.750

Output
D(E_F) in states/eV/atom: 0.6313
Uncorrected formation energy in eV/atom: 0.05
SG: F-43m, No. 216
E_tot in Ha/atom: -0.148


No. 3
## Si2HgW (GGA-PBE)

Data for a relaxed Si2HgW crystal.

Cell: 10.068 2.891 4.571 Å, 90.00 94.79 90.00°
Fractional coordinates of all 8 atoms:
Si: 0.000 0.000 0.000
Si: 0.230 0.000 0.681
Si: 0.500 0.500 0.000
Si: 0.730 0.500 0.681
Hg: 0.262 0.500 0.190
Hg: 0.762 0.000 0.190
W: 0.011 0.500 0.507
W: 0.511 0.000 0.507

Output
D(E_F) in states/eV/atom: 0.5403
Uncorrected formation energy in eV/atom: 0.56
SG: Cm, No. 8
E_tot in Ha/atom: -0.201


No. 4
## Nd2PuMg (GGA-PBE)

Data for a relaxed Nd2PuMg crystal.

Cell: 3.412 3.412 37.080 Å, 90.00 90.00 120.00°
Fractional coordinates of all 12 atoms:
Nd: 0.000 0.000 0.090
Nd: 0.000 0.000 0.910
Nd: 0.333 0.667 0.577
Nd: 0.333 0.667 0.756
Nd: 0.667 0.333 0.244
Nd: 0.667 0.333 0.423
Pu: 0.000 0.000 0.000
Pu: 0.333 0.667 0.667
Pu: 0.667 0.333 0.333
Mg: 0.000 0.000 0.500
Mg: 0.333 0.667 0.167
Mg: 0.667 0.333 0.833

Output
D(E_F) in states/eV/atom: 3.2089
SG: R-3m, No. 166
E_tot in Ha/atom: -0.223
Formation enthalpy at 0 K in kJ/mol of formula units: 113
Energy relative to the lowest polymorph listed for this composition in meV per atom: 225


No. 5
## La3Hg2Rh2 (GGA-PBE)

Data for a relaxed La3Hg2Rh2 crystal.

Cell: 7.224 4.169 13.451 Å, 90.00 100.37 90.00°
Fractional coordinates of all 14 atoms:
La: 0.000 0.000 0.000
La: 0.249 0.500 0.248
La: 0.251 0.000 0.752
La: 0.500 0.500 0.000
La: 0.749 0.000 0.248
La: 0.751 0.500 0.752
Hg: 0.143 0.000 0.429
Hg: 0.357 0.500 0.571
Hg: 0.643 0.500 0.429
Hg: 0.857 0.000 0.571
Rh: 0.122 0.500 0.866
Rh: 0.378 0.000 0.134
Rh: 0.622 0.000 0.866
Rh: 0.878 0.500 0.134

Output
D(E_F) in states/eV/atom: 0.6824
SG: C2/m, No. 12
E_tot in Ha/atom: -0.179
Formation enthalpy at 0 K in kJ/mol of formula units: -384


No. 6
## AcAg2 (GGA-PBE)

Data for a relaxed AcAg2 crystal.

Cell: 3.893 3.893 10.513 Å, 90.00 90.00 90.00°
Fractional coordinates of all 6 atoms:
Ac: 0.000 0.000 0.000
Ac: 0.500 0.500 0.500
Ag: 0.000 0.000 0.314
Ag: 0.000 0.000 0.686
Ag: 0.500 0.500 0.186
Ag: 0.500 0.500 0.814

Output
D(E_F) in states/eV/atom: 0.5520
SG: I4/mmm, No. 139
E_tot in Ha/atom: -0.127
Formation enthalpy at 0 K in kJ/mol of formula units: -56
Energy relative to the lowest polymorph listed for this composition in meV per atom: 114


No. 7
## La2RuSe (GGA-PBE)

Data for a relaxed La2RuSe crystal.

Cell: 4.756 5.449 7.657 Å, 90.00 90.00 90.00°
Fractional coordinates of all 8 atoms:
La: 0.000 0.000 0.232
La: 0.000 0.000 0.768
La: 0.500 0.500 0.232
La: 0.500 0.500 0.768
Ru: 0.000 0.500 0.000
Ru: 0.500 0.000 0.000
Se: 0.000 0.500 0.500
Se: 0.500 0.000 0.500

Output
D(E_F) in states/eV/atom: 0.3266
Uncorrected formation energy in eV/atom: -0.93
SG: Cmmm, No. 65
E_tot in Ha/atom: -0.242


No. 8
## CrPt2 (GGA-PBE)

Data for a relaxed CrPt2 crystal.

Cell: 10.169 2.820 6.478 Å, 90.00 105.15 90.00°
Fractional coordinates of all 12 atoms:
Cr: 0.000 0.000 0.000
Cr: 0.159 0.500 0.314
Cr: 0.500 0.500 0.000
Cr: 0.659 0.000 0.314
Pt: 0.055 0.000 0.586
Pt: 0.208 0.500 0.936
Pt: 0.334 0.000 0.662
Pt: 0.384 0.000 0.258
Pt: 0.555 0.500 0.586
Pt: 0.708 0.000 0.936
Pt: 0.834 0.500 0.662
Pt: 0.884 0.500 0.258

Output
D(E_F) in states/eV/atom: 1.2364
SG: Cm, No. 8
E_tot in Ha/atom: -0.271
Formation enthalpy at 0 K in kJ/mol of formula units: -39


No. 9
## Sm2Er6Th (GGA-PBE)

Data for a relaxed Sm2Er6Th crystal.

Cell: 3.562 3.562 26.181 Å, 90.00 90.00 120.00°
Fractional coordinates of all 9 atoms:
Sm: 0.000 0.000 0.172
Sm: 0.000 0.000 0.828
Er: 0.000 0.000 0.390
Er: 0.000 0.000 0.610
Er: 0.667 0.333 0.064
Er: 0.667 0.333 0.284
Er: 0.667 0.333 0.716
Er: 0.667 0.333 0.936
Th: 0.667 0.333 0.500

Output
D(E_F) in states/eV/atom: 1.8497
SG: P-6m2, No. 187
E_tot in Ha/atom: -0.178
Formation enthalpy at 0 K in kJ/mol of formula units: 59
Energy relative to the lowest polymorph listed for this composition in meV per atom: 0


No. 10
## U2AlSi3Ir4 (GGA-PBE)

Data for a relaxed U2AlSi3Ir4 crystal.

Cell: 4.050 4.050 10.261 Å, 90.00 90.00 90.00°
Fractional coordinates of all 10 atoms:
U: 0.000 0.500 0.250
U: 0.500 0.000 0.750
Al: 0.000 0.000 0.500
Si: 0.000 0.500 0.871
Si: 0.500 0.000 0.129
Si: 0.500 0.500 0.500
Ir: 0.000 0.000 0.000
Ir: 0.000 0.500 0.641
Ir: 0.500 0.000 0.359
Ir: 0.500 0.500 0.000

Output
D(E_F) in states/eV/atom: 1.5684
Uncorrected formation energy in eV/atom: -0.77
SG: P-4m2, No. 115
E_tot in Ha/atom: -0.315


No. 11
## Tl2IrSe (GGA-PBE)

Data for a relaxed Tl2IrSe crystal.

Cell: 3.396 4.363 13.954 Å, 90.00 90.00 90.00°
Fractional coordinates of all 8 atoms:
Tl: 0.000 0.000 0.000
Tl: 0.000 0.500 0.187
Tl: 0.500 0.000 0.687
Tl: 0.500 0.500 0.500
Ir: 0.000 0.500 0.750
Ir: 0.500 0.000 0.250
Se: 0.000 0.000 0.372
Se: 0.500 0.500 0.872

Output
D(E_F) in states/eV/atom: 0.3957
Uncorrected formation energy in eV/atom: 0.12
SG: Imm2, No. 44
E_tot in Ha/atom: -0.152
Energy relative to the lowest polymorph listed for this composition in meV per atom: 62


No. 12
## BaW2Au (GGA-PBE)

Data for a relaxed BaW2Au crystal.

Cell: 2.920 5.225 5.625 Å, 90.00 90.00 90.00°
Fractional coordinates of all 4 atoms:
Ba: 0.000 0.000 0.000
W: 0.000 0.500 0.500
W: 0.500 0.000 0.500
Au: 0.500 0.500 0.000

Output
D(E_F) in states/eV/atom: 0.7765
SG: Pmmm, No. 47
E_tot in Ha/atom: -0.242
Formation enthalpy at 0 K in kJ/mol of formula units: 457
Energy relative to the lowest polymorph listed for this composition in meV per atom: 669


No. 13
## Cs4Br (GGA-PBE)

Data for a relaxed Cs4Br crystal.

Cell: 7.526 7.526 7.526 Å, 90.00 90.00 90.00°
Fractional coordinates of all 5 atoms:
Cs: 0.000 0.000 0.000
Cs: 0.000 0.500 0.500
Cs: 0.500 0.000 0.500
Cs: 0.500 0.500 0.000
Br: 0.500 0.500 0.500

Output
D(E_F) in states/eV/atom: 0.7274
Uncorrected formation energy in eV/atom: -0.67
SG: Pm-3m, No. 221
E_tot in Ha/atom: -0.062


No. 14
## TmIn2Co (GGA-PBE)

Data for a relaxed TmIn2Co crystal.

Cell: 14.967 7.897 5.546 Å, 90.00 90.00 90.00°
Fractional coordinates of all 32 atoms:
Tm: 0.103 0.250 0.243
Tm: 0.138 0.750 0.466
Tm: 0.362 0.250 0.966
Tm: 0.397 0.750 0.743
Tm: 0.603 0.250 0.257
Tm: 0.638 0.750 0.034
Tm: 0.862 0.250 0.534
Tm: 0.897 0.750 0.757
In: 0.038 0.051 0.751
In: 0.038 0.449 0.751
In: 0.215 0.550 0.980
In: 0.215 0.950 0.980
In: 0.285 0.050 0.480
In: 0.285 0.450 0.480
In: 0.462 0.551 0.251
In: 0.462 0.949 0.251
In: 0.538 0.051 0.749
In: 0.538 0.449 0.749
In: 0.715 0.550 0.520
In: 0.715 0.950 0.520
In: 0.785 0.050 0.020
In: 0.785 0.450 0.020
In: 0.962 0.551 0.249
In: 0.962 0.949 0.249
Co: 0.070 0.750 0.976
Co: 0.186 0.250 0.759
Co: 0.314 0.750 0.259
Co: 0.430 0.250 0.476
Co: 0.570 0.750 0.524
Co: 0.686 0.250 0.741
Co: 0.814 0.750 0.241
Co: 0.930 0.250 0.024

Output
D(E_F) in states/eV/atom: 0.5617
SG: Pnma, No. 62
E_tot in Ha/atom: -0.167
Formation enthalpy at 0 K in kJ/mol of formula units: -106


No. 15
## TbPr12Y2 (GGA-PBE)

Data for a relaxed TbPr12Y2 crystal.

Cell: 6.915 6.915 25.205 Å, 90.00 90.00 116.46°
Fractional coordinates of all 30 atoms:
Tb: 0.250 0.750 0.999
Tb: 0.750 0.250 0.001
Pr: 0.002 0.502 0.870
Pr: 0.002 0.998 0.073
Pr: 0.021 0.521 0.415
Pr: 0.025 0.975 0.560
Pr: 0.250 0.250 0.198
Pr: 0.250 0.250 0.324
Pr: 0.250 0.250 0.676
Pr: 0.250 0.250 0.802
Pr: 0.475 0.525 0.560
Pr: 0.479 0.979 0.415
Pr: 0.498 0.502 0.073
Pr: 0.498 0.998 0.870
Pr: 0.502 0.002 0.130
Pr: 0.502 0.498 0.927
Pr: 0.521 0.021 0.585
Pr: 0.525 0.475 0.440
Pr: 0.750 0.750 0.198
Pr: 0.750 0.750 0.324
Pr: 0.750 0.750 0.676
Pr: 0.750 0.750 0.802
Pr: 0.975 0.025 0.440
Pr: 0.979 0.479 0.585
Pr: 0.998 0.002 0.927
Pr: 0.998 0.498 0.130
Y: 0.250 0.750 0.267
Y: 0.250 0.750 0.729
Y: 0.750 0.250 0.271
Y: 0.750 0.250 0.733

Output
D(E_F) in states/eV/atom: 1.4423
SG: Cmme, No. 67
E_tot in Ha/atom: -0.178
Formation enthalpy at 0 K in kJ/mol of formula units: 213


No. 16
## Sn2HIr (GGA-PBE)

Data for a relaxed Sn2HIr crystal.

Cell: 5.081 5.081 12.742 Å, 90.00 90.00 90.00°
Fractional coordinates of all 16 atoms:
Sn: 0.188 0.250 0.125
Sn: 0.250 0.688 0.375
Sn: 0.250 0.812 0.875
Sn: 0.312 0.250 0.625
Sn: 0.688 0.750 0.625
Sn: 0.750 0.188 0.875
Sn: 0.750 0.312 0.375
Sn: 0.812 0.750 0.125
H: 0.000 0.000 0.000
H: 0.000 0.500 0.250
H: 0.500 0.000 0.750
H: 0.500 0.500 0.500
Ir: 0.000 0.000 0.500
Ir: 0.000 0.500 0.750
Ir: 0.500 0.000 0.250
Ir: 0.500 0.500 0.000

Output
D(E_F) in states/eV/atom: 0.4013
SG: I-42d, No. 122
E_tot in Ha/atom: -0.170
Energy relative to the lowest polymorph listed for this composition in meV per atom: 151


No. 17
## LaHg2MoC (GGA-PBE)

Data for a relaxed LaHg2MoC crystal.

Cell: 4.959 4.959 4.249 Å, 90.00 90.00 90.00°
Fractional coordinates of all 5 atoms:
La: 0.000 0.000 0.000
Hg: 0.000 0.500 0.500
Hg: 0.500 0.000 0.500
Mo: 0.500 0.500 0.000
C: 0.500 0.500 0.500

Output
D(E_F) in states/eV/atom: 1.4077
SG: P4/mmm, No. 123
E_tot in Ha/atom: -0.162
Formation enthalpy at 0 K in kJ/mol of formula units: 345


No. 18
## MnP2Se6 (GGA-PBE)

Data for a relaxed MnP2Se6 crystal.

Cell: 9.342 9.342 6.076 Å, 91.71 91.71 66.06°
Fractional coordinates of all 18 atoms:
Mn: 0.106 0.894 0.750
Mn: 0.894 0.106 0.250
P: 0.220 0.411 0.714
P: 0.411 0.220 0.214
P: 0.589 0.780 0.786
P: 0.780 0.589 0.286
Se: 0.053 0.824 0.363
Se: 0.055 0.658 0.820
Se: 0.176 0.947 0.137
Se: 0.330 0.458 0.405
Se: 0.342 0.945 0.680
Se: 0.458 0.330 0.905
Se: 0.542 0.670 0.095
Se: 0.658 0.055 0.320
Se: 0.670 0.542 0.595
Se: 0.824 0.053 0.863
Se: 0.945 0.342 0.180
Se: 0.947 0.176 0.637

Output
Uncorrected formation energy in eV/atom: -0.09
SG: C2/c, No. 15
E_tot in Ha/atom: -0.170
Energy relative to the lowest polymorph listed for this composition in meV per atom: 0


No. 19
## AcTmInPt (GGA-PBE)

Data for a relaxed AcTmInPt crystal.

Cell: 7.559 7.559 7.559 Å, 90.00 90.00 90.00°
Fractional coordinates of all 16 atoms:
Ac: 0.000 0.000 0.000
Ac: 0.000 0.500 0.500
Ac: 0.500 0.000 0.500
Ac: 0.500 0.500 0.000
Tm: 0.000 0.000 0.500
Tm: 0.000 0.500 0.000
Tm: 0.500 0.000 0.000
Tm: 0.500 0.500 0.500
In: 0.250 0.250 0.250
In: 0.250 0.750 0.750
In: 0.750 0.250 0.750
In: 0.750 0.750 0.250
Pt: 0.250 0.250 0.750
Pt: 0.250 0.750 0.250
Pt: 0.750 0.250 0.250
Pt: 0.750 0.750 0.750

Output
D(E_F) in states/eV/atom: 1.1462
SG: F-43m, No. 216
E_tot in Ha/atom: -0.182
Formation enthalpy at 0 K in kJ/mol of formula units: -233


No. 20
## ThVSi (GGA-PBE)

Data for a relaxed ThVSi crystal.

Cell: 4.413 4.413 3.855 Å, 90.00 90.00 120.00°
Fractional coordinates of all 3 atoms:
Th: 0.000 0.000 0.000
V: 0.333 0.667 0.500
Si: 0.667 0.333 0.500

Output
D(E_F) in states/eV/atom: 1.1021
Uncorrected formation energy in eV/atom: -0.21
SG: P-6m2, No. 187
E_tot in Ha/atom: -0.277